Compound: Sr2Hg10Bi
Source: Alexandria
Functional: PBE
Structure: optimized geometry

Geometry as POSCAR:
```
Sr2Hg10Bi
1.0
10.7869 0.0000 0.0000
0.0000 13.4684 0.0000
0.0000 0.0000 5.9620
Sr Hg Bi
4 20 2
direct
0.1836 0.0930 0.0000
0.3164 0.5930 0.0000
0.6836 0.4070 0.0000
0.8164 0.9070 0.0000
0.0486 0.6105 0.5000
0.1106 0.7959 0.2348
0.1106 0.7959 0.7652
0.1530 0.2186 0.5000
0.2186 0.4442 0.5000
0.2814 0.9442 0.5000
0.3470 0.7186 0.5000
0.3894 0.2959 0.2348
0.3894 0.2959 0.7652
0.4514 0.1105 0.5000
0.5486 0.8895 0.5000
0.6106 0.7041 0.2348
0.6106 0.7041 0.7652
0.6530 0.2814 0.5000
0.7186 0.0558 0.5000
0.7814 0.5558 0.5000
0.8470 0.7814 0.5000
0.8894 0.2041 0.2348
0.8894 0.2041 0.7652
0.9514 0.3895 0.5000
0.0000 0.0000 0.5000
0.5000 0.5000 0.5000
```

Values from the calculation:
Volume, Å³/atom: 33.31
Space group: Pbam, No. 55
DFT formation energy, eV per formula unit: -1.7
Magnetization, μB/atom: 0.000